A crystal of TaNbO5 relaxed with PBEsol. Source: Alexandria via LeMat-Bulk, functional meta-GGA SCAN.

POSCAR file:
```
TaNbO5
1.0
12.3585 0.0000 0.0000
0.0000 5.7352 0.0000
0.0000 0.0000 7.1878
Ta Nb O
4 4 20
Direct
0.1549 0.2500 0.0321 Ta
0.3451 0.7500 0.5321 Ta
0.6549 0.2500 0.4679 Ta
0.8451 0.7500 0.9679 Ta
0.0559 0.7500 0.3489 Nb
0.4441 0.2500 0.8489 Nb
0.5559 0.7500 0.1511 Nb
0.9441 0.2500 0.6511 Nb
0.0000 0.0000 0.5000 O
0.0000 0.5000 0.5000 O
0.0759 0.2500 0.8125 O
0.1206 0.5106 0.1679 O
0.1206 0.9894 0.1679 O
0.1974 0.7500 0.4794 O
0.3026 0.2500 0.9794 O
0.3794 0.0106 0.6679 O
0.3794 0.4894 0.6679 O
0.4241 0.7500 0.3125 O
0.5000 0.0000 0.0000 O
0.5000 0.5000 0.0000 O
0.5759 0.2500 0.6875 O
0.6206 0.5106 0.3321 O
0.6206 0.9894 0.3321 O
0.6974 0.7500 0.0206 O
0.8026 0.2500 0.5206 O
0.8794 0.0106 0.8321 O
0.8794 0.4894 0.8321 O
0.9241 0.7500 0.1875 O
```

The space group is No. 62. Its energy is -21.496 eV/atom. Its raw formation energy is -2.800 eV per atom. The density of states at the Fermi level comes out at 0.000 states/eV/f.u.

A crystal of HfZn3Rh relaxed with PBEsol. Source: Alexandria via LeMat-Bulk, functional meta-GGA SCAN.

POSCAR file:
```
HfZn3Rh
1.0
4.5427 0.0000 0.0000
0.0000 4.5427 0.0000
0.0000 0.0000 4.5427
Hf Zn Rh
1 3 1
Direct
0.0000 0.0000 0.0000 Hf
0.0000 0.5000 0.5000 Zn
0.5000 0.0000 0.5000 Zn
0.5000 0.5000 0.0000 Zn
0.5000 0.5000 0.5000 Rh
```

The space group is No. 221. Its energy is -27.005 eV/atom. For the energy of formation, the calculation gives 0.393 eV/atom. The density of states at the Fermi level comes out at 3.617 states/eV/f.u.

A crystal of KCd2Se relaxed with PBEsol. Source: Alexandria via LeMat-Bulk, functional meta-GGA SCAN.

POSCAR file:
```
KCd2Se
1.0
5.3387 0.0000 0.0000
0.0000 3.0238 0.0000
-2.6619 0.0000 6.0745
K Cd Se
1 2 1
Direct
0.0000 0.0000 0.0000 K
0.0000 0.0000 0.5000 Cd
0.5000 0.5000 0.5000 Cd
0.5000 0.5000 0.0000 Se
```

The space group is No. 10. Its energy is -22.613 eV/atom. Its raw formation energy is -0.304 eV per atom. The density of states at the Fermi level comes out at 1.246 states/eV/f.u.

A crystal of Ca2ScMn relaxed with PBEsol. Source: Alexandria via LeMat-Bulk, functional meta-GGA SCAN.

POSCAR file:
```
Ca2ScMn
1.0
3.5466 0.0000 0.0000
0.0000 3.5466 0.0000
0.0000 0.0000 8.5150
Ca Sc Mn
2 1 1
Direct
0.0000 0.0000 0.2126 Ca
0.0000 0.0000 0.7874 Ca
0.5000 0.5000 0.5000 Sc
0.5000 0.5000 0.0000 Mn
```

The offset from the most stable computed form comes out at 0 meV per atom. The space group is No. 123. Its energy is -12.704 eV/atom. For the energy of formation, the calculation gives 0.251 eV/atom. The density of states at the Fermi level comes out at 4.588 states/eV/f.u.

A crystal of BiAs2I relaxed with PBEsol. Source: Alexandria via LeMat-Bulk, functional meta-GGA SCAN.

POSCAR file:
```
BiAs2I
1.0
0.0000 3.6410 3.6410
3.6410 0.0000 3.6410
3.6410 3.6410 0.0000
Bi As I
1 2 1
Direct
0.0000 0.0000 0.0000 Bi
0.2500 0.2500 0.2500 As
0.7500 0.7500 0.7500 As
0.5000 0.5000 0.5000 I
```

The space group is No. 225. Its energy is -38.293 eV/atom. Its raw formation energy is 0.633 eV per atom. The density of states at the Fermi level comes out at 3.198 states/eV/f.u.

A crystal of BeCr3Ga relaxed with PBEsol. Source: Alexandria via LeMat-Bulk, functional meta-GGA SCAN.

POSCAR file:
```
BeCr3Ga
1.0
4.5643 0.0000 0.0000
0.0000 4.5643 0.0000
0.0000 0.0000 4.5643
Be Cr Ga
1 3 1
Direct
0.0000 0.0000 0.0000 Be
0.0000 0.5000 0.5000 Cr
0.5000 0.0000 0.5000 Cr
0.5000 0.5000 0.0000 Cr
0.5000 0.5000 0.5000 Ga
```

The space group is No. 221. Its energy is -13.947 eV/atom. For the energy of formation, the calculation gives 1.224 eV/atom. The density of states at the Fermi level comes out at 3.404 states/eV/f.u.

A crystal of UPdSe3 relaxed with PBEsol. Source: Alexandria via LeMat-Bulk, functional meta-GGA SCAN.

POSCAR file:
```
UPdSe3
1.0
7.4955 0.0000 0.0000
0.0000 8.7001 0.0000
0.0000 0.0000 6.3114
U Pd Se
4 4 12
Direct
0.1402 0.2500 0.0675 U
0.3598 0.7500 0.5675 U
0.6402 0.2500 0.4325 U
0.8598 0.7500 0.9325 U
0.0000 0.0000 0.5000 Pd
0.0000 0.5000 0.5000 Pd
0.5000 0.0000 0.0000 Pd
0.5000 0.5000 0.0000 Pd
0.0629 0.7500 0.3138 Se
0.1647 0.5566 0.8442 Se
0.1647 0.9434 0.8442 Se
0.3353 0.0566 0.3442 Se
0.3353 0.4434 0.3442 Se
0.4371 0.2500 0.8138 Se
0.5629 0.7500 0.1862 Se
0.6647 0.5566 0.6558 Se
0.6647 0.9434 0.6558 Se
0.8353 0.0566 0.1558 Se
0.8353 0.4434 0.1558 Se
0.9371 0.2500 0.6862 Se
```

The space group is No. 62. Its energy is -40.109 eV/atom. Its raw formation energy is -0.801 eV per atom. The density of states at the Fermi level comes out at 7.285 states/eV/f.u.

A crystal of YMoPb2 relaxed with PBEsol. Source: Alexandria via LeMat-Bulk, functional meta-GGA SCAN.

POSCAR file:
```
YMoPb2
1.0
4.5736 0.0000 0.0000
0.0000 4.5736 0.0000
0.0000 0.0000 4.3565
Y Mo Pb
1 1 2
Direct
0.0000 0.0000 0.0000 Y
0.5000 0.5000 0.0000 Mo
0.0000 0.5000 0.5000 Pb
0.5000 0.0000 0.5000 Pb
```

The offset from the most stable computed form comes out at 105 meV per atom. The space group is No. 123. Its energy is -53.415 eV/atom. For the energy of formation, the calculation gives 0.157 eV/atom. The density of states at the Fermi level comes out at 2.552 states/eV/f.u.

A crystal of Ca3Tc2 relaxed with PBEsol. Source: Alexandria via LeMat-Bulk, functional meta-GGA SCAN.

POSCAR file:
```
Ca3Tc2
1.0
1.5853 0.9152 12.6820
-1.5853 0.9152 12.6820
0.0000 -1.8305 12.6820
Ca Tc
3 2
Direct
0.0000 0.0000 0.0000 Ca
0.2123 0.2123 0.2123 Ca
0.7877 0.7877 0.7877 Ca
0.3956 0.3956 0.3956 Tc
0.6044 0.6044 0.6044 Tc
```

The space group is No. 166. Its energy is -18.952 eV/atom. For the energy of formation, the calculation gives 0.870 eV/atom. The density of states at the Fermi level comes out at 3.168 states/eV/f.u.

A crystal of SiSb2P relaxed with PBEsol. Source: Alexandria via LeMat-Bulk, functional meta-GGA SCAN.

POSCAR file:
```
SiSb2P
1.0
0.0000 3.4487 3.4487
3.4487 0.0000 3.4487
3.4487 3.4487 0.0000
Si Sb P
1 2 1
Direct
0.0000 0.0000 0.0000 Si
0.2500 0.2500 0.2500 Sb
0.5000 0.5000 0.5000 Sb
0.7500 0.7500 0.7500 P
```

The offset from the most stable computed form comes out at 334 meV per atom. The space group is No. 216. Its energy is -23.009 eV/atom. Its raw formation energy is 0.725 eV per atom. The density of states at the Fermi level comes out at 2.341 states/eV/f.u.

A crystal of Li2AlAg relaxed with PBEsol. Source: Alexandria via LeMat-Bulk, functional meta-GGA SCAN.

POSCAR file:
```
Li2AlAg
1.0
3.0229 0.0000 0.0000
0.0000 4.4245 0.0000
0.0000 0.0000 4.5903
Li Al Ag
2 1 1
Direct
0.0000 0.0000 0.0000 Li
0.5000 0.5000 0.0000 Li
0.0000 0.5000 0.5000 Al
0.5000 0.0000 0.5000 Ag
```

The space group is No. 47. Its energy is -11.180 eV/atom. For the energy of formation, the calculation gives -0.205 eV/atom. The density of states at the Fermi level comes out at 1.253 states/eV/f.u.

A crystal of VPd3 relaxed with PBEsol. Source: Alexandria via LeMat-Bulk, functional meta-GGA SCAN.

POSCAR file:
```
VPd3
1.0
1.3581 0.7841 8.7853
-1.3581 0.7841 8.7853
0.0000 -1.5682 8.7853
V Pd
1 3
Direct
0.0000 0.0000 0.0000 V
0.2544 0.2544 0.2544 Pd
0.5000 0.5000 0.5000 Pd
0.7456 0.7456 0.7456 Pd
```

The space group is No. 166. Its energy is -29.139 eV/atom. For the energy of formation, the calculation gives -0.186 eV/atom. The density of states at the Fermi level comes out at 2.800 states/eV/f.u.